First-principles (GGA-PBE) data for Sc3HI7 after structural relaxation, as listed in Alexandria.

Properties
The value obtained for the total magnetization is 1.06 μB per formula unit. The calculation puts the uncorrected energy at -44.6 eV for the cell shown. The space-group type is P3m1 (156). The value obtained for the volume is 409.8 Å³ per cell.

Unit cell a=7.400 b=7.997 c=7.997 alpha=120.00 beta=90.00 gamma=90.00
Each line ends with the local moment (μB).
Fractional positions:
Sc 0.766 0.489 0.511  0.26
Sc 0.766 0.489 0.978  0.26
Sc 0.766 0.022 0.511  0.26
H 0.692 0.333 0.667  -0.01
I 0.006 0.166 0.834  -0.01
I 0.006 0.166 0.332  -0.01
I 0.994 0.667 0.333  -0.01
I 0.538 0.834 0.166  -0.01
I 0.538 0.333 0.166  -0.01
I 0.538 0.834 0.667  -0.01
I 0.006 0.668 0.834  -0.01

---

First-principles (GGA-PBE) data for ScH2I after structural relaxation, as listed in Alexandria.

Properties
The value obtained for the total magnetization is 0.00 μB per formula unit. The calculation puts the energy above the most stable polymorph in this dataset at 133 meV per atom. The space-group type is R-3m (166). The value obtained for the volume is 56.3 Å³ per cell.

Unit cell a=3.587 b=3.587 c=5.460 alpha=70.82 beta=70.82 gamma=60.00
Fractional positions:
I 0.500 0.500 0.500
Sc 0.000 0.000 0.000
H 0.690 0.690 0.931
H 0.310 0.310 0.069